Entry 1:
VASP calculation (PBE) on Na3Tl2In7 after structural relaxation.

abc: 6.294 6.294 11.045
angles: 73.45 73.45 60.00
Element x y z (fractional)
Na 0.000 0.000 0.000
Na 0.859 0.859 0.422
Na 0.141 0.141 0.578
Tl 0.664 0.664 0.009
Tl 0.336 0.336 0.991
In 0.500 0.500 0.500
In 0.920 0.408 0.264
In 0.408 0.920 0.264
In 0.408 0.408 0.264
In 0.080 0.592 0.736
In 0.592 0.592 0.736
In 0.592 0.080 0.736

energy above the most stable polymorph in this dataset	0.51	kcal/mol of atoms
N(E_F)	6.2	states/eV/f.u.
calculated formation energy	-0.0344	eV/atom
magnetization	0.0	μB/f.u.

=====

Entry 2:
VASP calculation (PBE) on Na2TlIn5 after structural relaxation.

abc: 4.850 6.608 13.275
angles: 90.00 90.00 90.00
Element x y z (fractional)
Na 0.500 0.236 0.622
Na 0.500 0.764 0.378
Na 0.500 0.264 0.122
Na 0.500 0.736 0.878
Tl 0.000 0.000 0.500
Tl 0.000 0.500 0.000
In 0.000 0.000 0.000
In 0.000 0.500 0.500
In 0.000 0.487 0.746
In 0.000 0.513 0.254
In 0.000 0.013 0.246
In 0.000 0.987 0.754
In 0.500 0.235 0.870
In 0.500 0.765 0.130
In 0.500 0.265 0.370
In 0.500 0.735 0.630

N(E_F)	3.8	states/eV/f.u.
calculated formation energy	-0.0766	eV/atom
magnetization	0.0	μB/f.u.

=====

Entry 3:
VASP calculation (PBE) on Na5Tl2In12 after structural relaxation.

abc: 5.041 7.812 14.185
angles: 105.98 89.99 90.00
Element x y z (fractional)
Na 0.500 0.267 0.535
Na 0.000 0.378 0.756
Na 0.500 0.000 0.000
Na 0.000 0.622 0.244
Na 0.500 0.733 0.465
Tl 0.000 0.713 0.000
Tl 0.000 0.287 0.000
In 0.000 0.088 0.176
In 0.000 0.993 0.603
In 0.000 0.611 0.603
In 0.500 0.074 0.734
In 0.500 0.660 0.734
In 0.500 0.446 0.891
In 0.500 0.554 0.109
In 0.500 0.926 0.266
In 0.500 0.340 0.266
In 0.000 0.007 0.397
In 0.000 0.389 0.397
In 0.000 0.912 0.824

N(E_F)	7.7	states/eV/f.u.
calculated formation energy	-0.0675	eV/atom
magnetization	0.0	μB/f.u.

=====

Entry 4:
VASP calculation (PBE) on NaTl5In after structural relaxation.

abc: 5.851 7.996 7.996
angles: 67.96 68.54 68.54
Element x y z (fractional)
Na 0.000 0.000 0.000
Tl 0.500 0.171 0.829
Tl 0.500 0.829 0.171
Tl 0.750 0.250 0.250
Tl 0.250 0.750 0.750
Tl 0.000 0.500 0.500
In 0.500 0.500 0.500

energy above the most stable polymorph in this dataset	7.49	kcal/mol of atoms
N(E_F)	5.0	states/eV/f.u.
calculated formation energy	0.3399	eV/atom
magnetization	0.0	μB/f.u.

=====

Entry 5:
VASP calculation (PBE) on NaTl3In after structural relaxation.

abc: 5.596 5.596 5.596
angles: 90.00 90.00 90.00
Element x y z (fractional)
Na 0.000 0.000 0.000
Tl 0.000 0.500 0.000
Tl 0.000 0.000 0.500
Tl 0.500 0.000 0.000
In 0.500 0.500 0.500

energy above the most stable polymorph in this dataset	9.10	kcal/mol of atoms
N(E_F)	2.3	states/eV/f.u.
calculated formation energy	0.3414	eV/atom
magnetization	0.0	μB/f.u.

=====

Entry 6:
VASP calculation (PBE) on Na3TlIn after structural relaxation.

abc: 5.350 6.411 8.276
angles: 77.43 90.00 90.00
Element x y z (fractional)
Na 0.624 0.806 0.575
Na 0.624 0.991 0.172
Na 0.125 0.493 0.668
Na 0.124 0.293 0.073
Na 0.124 0.107 0.475
Na 0.625 0.605 0.980
Tl 0.625 0.207 0.772
Tl 0.125 0.892 0.875
In 0.624 0.408 0.374
In 0.124 0.690 0.273

energy above the most stable polymorph in this dataset	0.00	kcal/mol of atoms
N(E_F)	1.9	states/eV/f.u.
calculated formation energy	-0.1083	eV/atom
magnetization	0.0	μB/f.u.

=====

Entry 7:
VASP calculation (PBE) on Na6Tl10In after structural relaxation.

abc: 6.693 9.217 9.217
angles: 120.00 90.00 90.00
Element x y z (fractional)
Na 0.695 0.372 0.372
Na 0.695 0.000 0.628
Na 0.695 0.628 0.000
Na 0.305 0.628 0.628
Na 0.305 0.000 0.372
Na 0.305 0.372 0.000
Tl 0.817 0.729 0.729
Tl 0.817 0.000 0.271
Tl 0.817 0.271 0.000
Tl 0.183 0.271 0.271
Tl 0.183 0.000 0.729
Tl 0.183 0.729 0.000
Tl 0.500 0.333 0.667
Tl 0.500 0.667 0.333
Tl 0.000 0.667 0.333
Tl 0.000 0.333 0.667
In 0.500 0.000 0.000

N(E_F)	8.0	states/eV/f.u.
calculated formation energy	-0.0638	eV/atom
magnetization	0.0	μB/f.u.

=====

Entry 8:
VASP calculation (PBE) on NaTl16In12 after structural relaxation.

abc: 10.279 10.279 10.439
angles: 109.66 109.66 108.74
Element x y z (fractional)
Na 0.596 0.596 0.276
Tl 0.360 0.360 0.356
Tl 0.999 0.999 0.002
Tl 0.001 0.001 0.649
Tl 0.317 0.317 0.711
Tl 0.676 0.396 0.999
Tl 0.606 0.285 0.604
Tl 0.997 0.685 0.395
Tl 0.999 0.640 0.001
Tl 0.716 0.322 0.320
Tl 0.392 0.998 0.679
Tl 0.998 0.392 0.679
Tl 0.322 0.716 0.320
Tl 0.640 0.999 0.001
Tl 0.685 0.997 0.395
Tl 0.285 0.606 0.604
Tl 0.396 0.676 0.999
In 0.819 0.819 0.186
In 0.635 0.635 0.826
In 0.365 0.183 0.997
In 0.819 0.633 0.633
In 0.193 0.003 0.365
In 0.375 0.001 0.188
In 0.179 0.808 0.815
In 0.808 0.179 0.815
In 0.001 0.375 0.188
In 0.003 0.193 0.365
In 0.633 0.819 0.633
In 0.183 0.365 0.997

N(E_F)	11.8	states/eV/f.u.
calculated formation energy	-0.0036	eV/atom
magnetization	0.0	μB/f.u.

=====

Entry 9:
VASP calculation (PBE) on Na2Tl2In after structural relaxation.

abc: 5.428 5.312 6.506
angles: 63.24 65.34 59.27
Element x y z (fractional)
Na 0.203 0.208 0.386
Na 0.797 0.792 0.614
Tl 0.600 0.600 0.201
Tl 0.400 0.400 0.799
In 0.000 0.000 0.000

energy above the most stable polymorph in this dataset	0.00	kcal/mol of atoms
N(E_F)	1.4	states/eV/f.u.
calculated formation energy	-0.1116	eV/atom
magnetization	0.0	μB/f.u.

=====

Entry 10:
VASP calculation (PBE) on NaTl2In5 after structural relaxation.

abc: 4.567 7.174 13.530
angles: 90.00 90.00 90.00
Element x y z (fractional)
Na 0.000 0.000 0.500
Na 0.000 0.500 0.000
Tl 0.500 0.233 0.623
Tl 0.500 0.767 0.377
Tl 0.500 0.267 0.123
Tl 0.500 0.733 0.877
In 0.000 0.000 0.000
In 0.000 0.500 0.500
In 0.000 0.475 0.751
In 0.000 0.525 0.249
In 0.000 0.025 0.251
In 0.000 0.975 0.749
In 0.500 0.226 0.870
In 0.500 0.774 0.130
In 0.500 0.274 0.370
In 0.500 0.726 0.630

N(E_F)	3.4	states/eV/f.u.
calculated formation energy	-0.0263	eV/atom
magnetization	0.0	μB/f.u.

=====

Entry 11:
VASP calculation (PBE) on NaTl4In7 after structural relaxation.

abc: 5.788 11.260 6.516
angles: 94.29 63.63 75.11
Element x y z (fractional)
Na 0.000 0.000 0.000
Tl 0.654 0.229 0.462
Tl 0.346 0.771 0.538
Tl 0.678 0.705 0.938
Tl 0.322 0.295 0.062
In 0.806 0.912 0.477
In 0.194 0.088 0.523
In 0.024 0.610 0.343
In 0.976 0.390 0.657
In 0.338 0.535 0.789
In 0.500 0.000 0.000
In 0.662 0.465 0.211

energy above the most stable polymorph in this dataset	1.77	kcal/mol of atoms
N(E_F)	4.8	states/eV/f.u.
calculated formation energy	0.0650	eV/atom
magnetization	0.0	μB/f.u.

=====

Entry 12:
VASP calculation (PBE) on Na3Tl3In after structural relaxation.

abc: 8.372 8.372 8.372
angles: 90.00 90.00 90.00
Element x y z (fractional)
Na 0.000 0.250 0.500
Na 0.000 0.750 0.500
Na 0.500 0.000 0.750
Na 0.750 0.500 0.000
Na 0.500 0.000 0.250
Na 0.250 0.500 0.000
Tl 0.250 0.000 0.500
Tl 0.000 0.500 0.250
Tl 0.500 0.750 0.000
Tl 0.750 0.000 0.500
Tl 0.000 0.500 0.750
Tl 0.500 0.250 0.000
In 0.500 0.500 0.500
In 0.000 0.000 0.000

energy above the most stable polymorph in this dataset	11.17	kcal/mol of atoms
N(E_F)	3.6	states/eV/f.u.
calculated formation energy	0.4112	eV/atom
magnetization	0.0	μB/f.u.

=====

> Which of these has the highest calculated formation energy?

Na3Tl3In